No. 1
A relaxed Zr3PdW crystal. Source: Alexandria via LeMat-Bulk, functional PBE-GGA.

CIF file:
```
data_Zr3PdW
_cell_length_a 5.046
_cell_length_b 5.046
_cell_length_c 5.046
_cell_angle_alpha 90.00
_cell_angle_beta 90.00
_cell_angle_gamma 90.00
_space_group_name_H-M_alt 'P m -3 m'
_space_group_IT_number 221
_space_group_name_Hall '-P 4 2 3'
loop_
_atom_site_label
_atom_site_type_symbol
_atom_site_fract_x
_atom_site_fract_y
_atom_site_fract_z
Zr1 Zr 0.000 0.000 0.500
Pd1 Pd 0.500 0.500 0.500
W1 W 0.000 0.000 0.000
```

Results
energy relative to the elements = 0.86 eV/atom
total magnetic moment = 0.00 μB/f.u.
theoretical density = 7.29 g/cm3
calculated volume = 25.7 Å³/atom
E above lowest polymorph = 0 kJ/mol of formula units



No. 2
A relaxed La5NdY5 crystal. Source: Alexandria via LeMat-Bulk, functional PBE-GGA.

CIF file:
```
data_La5NdY5
_cell_length_a 6.2458
_cell_length_b 6.2458
_cell_length_c 11.9548
_cell_angle_alpha 90.00
_cell_angle_beta 90.00
_cell_angle_gamma 120.00
_space_group_name_H-M_alt 'P -6 m 2'
_space_group_IT_number 187
_space_group_name_Hall 'P -6 2'
loop_
_atom_site_label
_atom_site_type_symbol
_atom_site_fract_x
_atom_site_fract_y
_atom_site_fract_z
La1 La 0.0000 0.0000 0.0000
La2 La 0.3333 0.6667 0.3158
La3 La 0.6667 0.3333 0.1493
Nd1 Nd 0.3333 0.6667 0.0000
Y1 Y 0.0000 0.0000 0.2619
Y2 Y 0.3318 0.1659 0.5000
```

Results
energy relative to the elements = 0.28 eV/atom
total magnetic moment = 0.01 μB/f.u.
theoretical density = 5.28 g/cm3
calculated volume = 36.7 Å³/atom